(1)
A plane-wave DFT calculation with PBE+U was carried out for a geometry-optimized FePI2O structure.

Cell: 5.5605 5.5605 3.6654 Å, 90.00 90.00 90.00°
Atoms (fractional coordinates):
1 Fe 0.0000 0.0000 0.0000
2 P 0.5000 0.5000 0.5000
3 I 0.0000 0.5000 0.0000
4 I 0.5000 0.0000 0.0000
5 O 0.0000 0.0000 0.5000

Calculated values
energy above the most stable polymorph in this dataset: 0.136 eV/atom
uncorrected energy: -3.595 eV/atom

=====

(2)
A plane-wave DFT calculation with PBE+U was carried out for a geometry-optimized FePI2O structure.

Cell: 5.6471 5.6471 3.5603 Å, 90.00 90.00 90.00°
Atoms (fractional coordinates):
1 Fe 0.0000 0.0000 0.0000
2 P 0.5000 0.5000 0.5000
3 I 0.0000 0.5000 0.5000
4 I 0.5000 0.0000 0.5000
5 O 0.5000 0.5000 0.0000

Calculated values
energy above the most stable polymorph in this dataset: 0.000 eV/atom
uncorrected energy: -3.730 eV/atom

=====

(3)
A plane-wave DFT calculation with PBE+U was carried out for a geometry-optimized FePbI2O structure.

Cell: 6.0348 6.0348 4.2531 Å, 90.00 90.00 90.00°
Atoms (fractional coordinates):
1 Fe 0.0000 0.0000 0.0000
2 Pb 0.5000 0.5000 0.5000
3 I 0.0000 0.5000 0.5000
4 I 0.5000 0.0000 0.5000
5 O 0.5000 0.5000 0.0000

Calculated values
uncorrected energy: -3.316 eV/atom

=====

(4)
A plane-wave DFT calculation with PBE+U was carried out for a geometry-optimized FePbIO6 structure.

Cell: 5.1523 5.1533 5.4975 Å, 89.91 89.85 60.02°
Atoms (fractional coordinates):
1 Fe 0.0000 0.0000 0.0000
2 Pb 0.6659 0.6684 0.5000
3 I 0.3314 0.3367 0.0000
4 O 0.0450 0.6647 0.8037
5 O 0.0483 0.2946 0.1983
6 O 0.2838 0.0578 0.8009
7 O 0.2885 0.6654 0.1964
8 O 0.6574 0.0592 0.1998
9 O 0.6567 0.2924 0.8008

Calculated values
uncorrected energy: -5.224 eV/atom

=====

(5)
A plane-wave DFT calculation with PBE+U was carried out for a geometry-optimized PmFeIO6 structure.

Cell: 5.3312 5.3312 4.9877 Å, 90.00 90.00 120.00°
Atoms (fractional coordinates):
1 Pm 0.0000 0.0000 0.0000
2 Fe 0.3333 0.6667 0.5000
3 I 0.6667 0.3333 0.5000
4 O 0.3782 0.0323 0.7169
5 O 0.3782 0.3458 0.2831
6 O 0.6542 0.0323 0.2831
7 O 0.6542 0.6218 0.7169
8 O 0.9677 0.3458 0.7169
9 O 0.9677 0.6218 0.2831

Calculated values
uncorrected energy: -6.140 eV/atom

=====

(6)
A plane-wave DFT calculation with PBE+U was carried out for a geometry-optimized FePtIO2 structure.

Cell: 3.8775 3.8775 7.2850 Å, 90.00 90.00 90.00°
Atoms (fractional coordinates):
1 Fe 0.0000 0.0000 0.0000
2 Pt 0.5000 0.5000 0.5000
3 I 0.5000 0.5000 0.0000
4 O 0.0000 0.5000 0.5000
5 O 0.5000 0.0000 0.5000

Calculated values
energy above the most stable polymorph in this dataset: 0.299 eV/atom
uncorrected energy: -4.415 eV/atom